# GGA-PBE SmScCdAg, optimized geometry
data_SmScCdAg
_symmetry_space_group_name_H-M 'P 4 m m'
_symmetry_Int_Tables_number 99
_symmetry_space_group_name_Hall 'P 4 -2'
_cell_length_a 3.545
_cell_length_b 3.545
_cell_length_c 7.567
_cell_angle_alpha 90.00
_cell_angle_beta 90.00
_cell_angle_gamma 90.00
loop_
_atom_site_label
_atom_site_fract_x
_atom_site_fract_y
_atom_site_fract_z
Sm1 0.000 0.000 0.000
Sc1 0.000 0.000 0.478
Cd1 0.500 0.500 0.712
Ag1 0.500 0.500 0.275
# Distance to the lowest polymorph of the same formula   0.0 meV/atom
# ΔH_f (0 K)   -0.27 eV/atom
# Energy   -15.9 eV per cell



# GGA-PBE LiLa2Cr, optimized geometry
data_LiLa2Cr
_symmetry_space_group_name_H-M 'P 4 m m'
_symmetry_Int_Tables_number 99
_symmetry_space_group_name_Hall 'P 4 -2'
_cell_length_a 3.740
_cell_length_b 3.740
_cell_length_c 7.680
_cell_angle_alpha 90.00
_cell_angle_beta 90.00
_cell_angle_gamma 90.00
loop_
_atom_site_label
_atom_site_fract_x
_atom_site_fract_y
_atom_site_fract_z
Li1 0.000 0.000 0.000
La1 0.000 0.000 0.406
La2 0.500 0.500 0.738
Cr1 0.500 0.500 0.165
# ΔH_f (0 K)   0.35 eV/atom
# Energy   -20.0 eV per cell



# GGA-PBE Ba2TiI, optimized geometry
data_Ba2TiI
_symmetry_space_group_name_H-M 'I -4 2 d'
_symmetry_Int_Tables_number 122
_symmetry_space_group_name_Hall 'I -4 2bw'
_cell_length_a 9.455
_cell_length_b 9.455
_cell_length_c 8.591
_cell_angle_alpha 90.00
_cell_angle_beta 90.00
_cell_angle_gamma 90.00
loop_
_atom_site_label
_atom_site_fract_x
_atom_site_fract_y
_atom_site_fract_z
Ba1 0.242 0.750 0.125
Ti1 0.000 0.000 0.500
I1 0.000 0.000 0.000
# Distance to the lowest polymorph of the same formula   91.0 meV/atom
# ΔE_f (raw)   0.187 eV per atom
# Energy   -50.2 eV per cell



# GGA-PBE Pr5NdDy2Tm, optimized geometry
data_Pr5NdDy2Tm
_symmetry_space_group_name_H-M 'I 4/m c m'
_symmetry_Int_Tables_number 140
_symmetry_space_group_name_Hall '-I 4 2c'
_cell_length_a 9.503
_cell_length_b 9.503
_cell_length_c 14.141
_cell_angle_alpha 90.00
_cell_angle_beta 90.00
_cell_angle_gamma 90.00
loop_
_atom_site_label
_atom_site_fract_x
_atom_site_fract_y
_atom_site_fract_z
Pr1 0.000 0.000 0.000
Pr2 0.202 0.298 0.132
Nd1 0.000 0.000 0.250
Dy1 0.108 0.392 0.500
Tm1 0.000 0.500 0.250
# ΔH_f (0 K)   0.29 eV/atom
# Energy   -158.8 eV per cell



# GGA-PBE AcPuGePd, optimized geometry
data_AcPuGePd
_symmetry_space_group_name_H-M 'F -4 3 m'
_symmetry_Int_Tables_number 216
_symmetry_space_group_name_Hall 'F -4 2 3'
_cell_length_a 7.446
_cell_length_b 7.446
_cell_length_c 7.446
_cell_angle_alpha 90.00
_cell_angle_beta 90.00
_cell_angle_gamma 90.00
loop_
_atom_site_label
_atom_site_fract_x
_atom_site_fract_y
_atom_site_fract_z
Ac1 0.000 0.000 0.000
Pu1 0.000 0.000 0.500
Ge1 0.250 0.250 0.250
Pd1 0.250 0.250 0.750
# ΔH_f (0 K)   -0.45 eV/atom
# Energy   -120.3 eV per cell



# GGA-PBE NdPd6, optimized geometry
data_NdPd6
_symmetry_space_group_name_H-M 'P n m a'
_symmetry_Int_Tables_number 62
_symmetry_space_group_name_Hall '-P 2ac 2n'
_cell_length_a 8.818
_cell_length_b 5.365
_cell_length_c 10.639
_cell_angle_alpha 90.00
_cell_angle_beta 90.00
_cell_angle_gamma 90.00
loop_
_atom_site_label
_atom_site_fract_x
_atom_site_fract_y
_atom_site_fract_z
Nd1 0.246 0.250 0.059
Pd1 0.059 0.750 0.074
Pd2 0.061 0.006 0.300
Pd3 0.108 0.250 0.520
Pd4 0.163 0.750 0.838
Pd5 0.186 0.250 0.770
# Distance to the lowest polymorph of the same formula   0.0 meV/atom
# ΔH_f (0 K)   -0.41 eV/atom
# Energy   -155.3 eV per cell